SrNi2Se (PBE, relaxed); mass density = 6263 kg/m3; uncorrected formation energy = 0.1111 eV/atom; calculated total energy = -16.285 eV for the cell shown; SG = Pmmm
1.0
3.481 0.000 0.000
0.000 3.494 0.000
0.000 0.000 6.191
Ni Sr Se
2 1 1
Cartesian
0.000 0.000 0.383
0.000 0.000 2.712
1.740 1.747 4.643
1.740 1.747 1.548